Material: BeAsSeBr2
Method: DFT, PBE
State: optimized geometry

Unit cell a=5.353 b=5.353 c=5.166 alpha=90.00 beta=90.00 gamma=90.00
Space group P4/mmm (No. 123)
Symmetry-distinct sites (fractional):
Be1 0.000 0.000 0.000 x1
As1 0.500 0.500 0.000 x1
Se1 0.500 0.500 0.500 x1
Br1 0.000 0.500 0.500 x2

## Properties
- excess energy over the best structure of this formula in the dataset (eV per atom) = 0.735
- total magnetization (μB/cell) = 0.285
- E_form (uncorrected) (eV per atom) = 0.944

***

Material: Pu2ZnHg
Method: DFT, PBE
State: optimized geometry

Unit cell a=7.358 b=7.358 c=7.358 alpha=90.00 beta=90.00 gamma=90.00
Space group Fm-3m (No. 225)
Symmetry-distinct sites (fractional):
Pu1 0.250 0.250 0.250 x8
Zn1 0.000 0.000 0.000 x4
Hg1 0.000 0.000 0.500 x4

## Properties
- excess energy over the best structure of this formula in the dataset (eV per atom) = 0.022
- total magnetization (μB/cell) = 46.805
- E_form (kJ/mol of atoms) = -2.4

***

Material: Ac4Te2PdS
Method: DFT, PBE
State: optimized geometry

Unit cell a=7.929 b=4.443 c=8.183 alpha=90.00 beta=109.00 gamma=90.00
Space group P2/m (No. 10)
Symmetry-distinct sites (fractional):
Ac1 0.232 0.000 0.217 x2
Ac2 0.265 0.500 0.776 x2
Te1 0.000 0.000 0.500 x1
Te2 0.500 0.500 0.500 x1
Pd1 0.000 0.500 0.000 x1
S1 0.500 0.000 0.000 x1

## Properties
- total magnetization (μB/cell) = 0.000
- E_form (uncorrected) (eV per atom) = -1.423

***

Material: LaCd2Se
Method: DFT, PBE
State: optimized geometry

Unit cell a=4.066 b=4.066 c=6.841 alpha=90.00 beta=90.00 gamma=90.00
Space group P4mm (No. 99)
Symmetry-distinct sites (fractional):
La1 0.000 0.000 0.000 x1
Cd1 0.000 0.000 0.506 x1
Cd2 0.500 0.500 0.652 x1
Se1 0.500 0.500 0.126 x1

## Properties
- total magnetization (μB/cell) = 0.000
- E_form (uncorrected) (eV per atom) = -0.725

***

Material: HgH6Ir2
Method: DFT, PBE
State: optimized geometry

Unit cell a=14.425 b=7.716 c=4.458 alpha=90.00 beta=99.41 gamma=90.00
Space group C2/c (No. 15)
Symmetry-distinct sites (fractional):
Hg1 0.000 0.172 0.250 x4
H1 0.174 0.426 0.633 x8
H2 0.179 0.248 0.118 x8
H3 0.185 0.084 0.635 x8
Ir1 0.246 0.417 0.000 x8

## Properties
- total DFT energy (no corrections) (eV for the cell shown) = -146.5
- total magnetization (μB/cell) = 0.000

***

Material: TaMnCrSn2
Method: DFT, PBE
State: optimized geometry

Unit cell a=4.951 b=4.951 c=4.631 alpha=90.00 beta=90.00 gamma=90.00
Space group P4/mmm (No. 123)
Symmetry-distinct sites (fractional):
Ta1 0.000 0.000 0.000 x1
Mn1 0.500 0.500 0.000 x1
Cr1 0.000 0.000 0.500 x1
Sn1 0.000 0.500 0.500 x2

## Properties
- total magnetization (μB/cell) = 4.443
- E_form (kJ/mol of atoms) = 86.7

***

Material: Ta3SiNi2
Method: DFT, PBE
State: optimized geometry

Unit cell a=11.192 b=11.192 c=11.192 alpha=90.00 beta=90.00 gamma=90.00
Space group Fd-3m (No. 227, origin choice 2)
Symmetry-distinct sites (fractional):
Ta1 0.077 0.375 0.375 x48
Si1 0.000 0.000 0.500 x16
Ni1 0.042 0.042 0.708 x32

## Properties
- total magnetization (μB/cell) = 0.001
- E_form (uncorrected) (eV per atom) = -0.410

***

Material: Sr2ReP
Method: DFT, PBE
State: optimized geometry

Unit cell a=4.788 b=4.788 c=4.261 alpha=90.00 beta=90.00 gamma=90.00
Space group P4/mmm (No. 123)
Symmetry-distinct sites (fractional):
Sr1 0.000 0.500 0.000 x2
Re1 0.000 0.000 0.500 x1
P1 0.500 0.500 0.500 x1

## Properties
- total magnetization (μB/cell) = 2.000
- E_form (kJ/mol of atoms) = 55.5

***

Material: Pr4Hg4Pb5
Method: DFT, PBE
State: optimized geometry

Unit cell a=12.448 b=12.448 c=4.867 alpha=90.00 beta=90.00 gamma=90.00
Space group I4/m (No. 87)
Symmetry-distinct sites (fractional):
Pr1 0.123 0.231 0.000 x8
Hg1 0.088 0.599 0.000 x8
Pb1 0.000 0.000 0.000 x2
Pb2 0.059 0.803 0.500 x8

## Properties
- total magnetization (μB/cell) = 0.000
- E_form (kJ/mol of atoms) = -37.9

***

Material: P2IrPb
Method: DFT, PBE
State: optimized geometry

Unit cell a=3.080 b=3.254 c=7.573 alpha=90.00 beta=90.00 gamma=90.00
Space group Pmm2 (No. 25)
Symmetry-distinct sites (fractional):
P1 0.000 0.000 0.000 x1
P2 0.500 0.500 0.160 x1
Ir1 0.500 0.500 0.839 x1
Pb1 0.000 0.000 0.550 x1

## Properties
- total magnetization (μB/cell) = 0.000
- E_form (kJ/mol of atoms) = 23.6

***

Material: NdPaGaO6
Method: DFT, PBE
State: optimized geometry

Unit cell a=5.5192 b=5.5192 c=4.8225 alpha=90.00 beta=90.00 gamma=120.00
Space group P312 (No. 149)
Symmetry-distinct sites (fractional):
Nd1 0.0000 0.0000 0.0000 x1
Pa1 0.3333 0.6667 0.5000 x1
Ga1 0.6667 0.3333 0.0000 x1
O1 0.3783 0.0128 0.7606 x6

## Properties
- total magnetization (μB/cell) = 0.728
- E_form (uncorrected) (eV per atom) = -2.623

***

Material: Rb2BaTbF6
Method: DFT, PBE
State: optimized geometry

Unit cell a=6.534 b=6.535 c=7.339 alpha=116.41 beta=90.02 gamma=119.99
Space group P-1 (No. 2)
Symmetry-distinct sites (fractional):
Rb1 0.222 0.445 0.167 x2
Ba1 0.000 0.000 0.500 x1
Tb1 0.500 0.000 0.000 x1
F1 0.228 0.951 0.186 x2
F2 0.266 0.040 0.815 x2
F3 0.274 0.541 0.814 x2

## Properties
- total magnetization (μB/cell) = 0.000
- E_form (uncorrected) (eV per atom) = -3.286